1.
TaAl3Pt12: optimized geometry, GGA-PBE.

Unit cell a=3.948 b=3.948 c=15.725 alpha=90.00 beta=90.00 gamma=90.00
Space group P4/mmm (No. 123)
Asymmetric unit:
Ta 0.000 0.000 0.000 (multiplicity 1)
Al 0.000 0.000 0.259 (multiplicity 2)
Al 0.000 0.000 0.500 (multiplicity 1)
Pt 0.000 0.500 0.125 (multiplicity 4)
Pt 0.000 0.500 0.376 (multiplicity 4)
Pt 0.500 0.500 0.000 (multiplicity 1)
Pt 0.500 0.500 0.251 (multiplicity 2)
Pt 0.500 0.500 0.500 (multiplicity 1)

Calculated values
Raw total energy: -107.25 eV/cell
Density of states at the Fermi level: 10.23 states/eV/cell
ΔE_f: -0.730 eV/atom

2.
Pu3H12Au5: optimized geometry, GGA-PBE.

Unit cell a=12.339 b=12.339 c=12.339 alpha=90.00 beta=90.00 gamma=90.00
Space group Ia-3d (No. 230)
Asymmetric unit:
Pu 0.000 0.250 0.125 (multiplicity 24)
H 0.025 0.057 0.652 (multiplicity 96)
Au 0.000 0.000 0.000 (multiplicity 16)
Au 0.000 0.250 0.375 (multiplicity 24)

Calculated values
Raw total energy: -797.40 eV/cell
Density of states at the Fermi level: 276.09 states/eV/cell

3.
LaSm3Pt: optimized geometry, GGA-PBE.

Unit cell a=5.626 b=5.626 c=5.626 alpha=90.00 beta=90.00 gamma=90.00
Space group Pm-3m (No. 221)
Asymmetric unit:
La 0.000 0.000 0.000 (multiplicity 1)
Sm 0.000 0.500 0.500 (multiplicity 3)
Pt 0.500 0.500 0.500 (multiplicity 1)

Calculated values
Raw total energy: -26.73 eV/cell
Density of states at the Fermi level: 11.24 states/eV/cell
ΔE to the lowest computed polymorph: 30 meV per atom
ΔE_f: -0.320 eV/atom

4.
Cs3AuC: optimized geometry, GGA-PBE.

Unit cell a=6.288 b=6.288 c=6.288 alpha=90.00 beta=90.00 gamma=90.00
Space group Pm-3m (No. 221)
Asymmetric unit:
Cs 0.000 0.000 0.500 (multiplicity 3)
Au 0.500 0.500 0.500 (multiplicity 1)
C 0.000 0.000 0.000 (multiplicity 1)

Calculated values
Raw total energy: -11.22 eV/cell
Density of states at the Fermi level: 3.73 states/eV/cell
ΔE to the lowest computed polymorph: 0 meV per atom
ΔE_f: 0.768 eV/atom